## CoPb2I (PBE-GGA)

Data for CoPb2I after structural relaxation.

Cell lengths 5.405, 5.405, 5.405 Å; angles 60.00, 60.00, 60.00 degrees
Fractional coordinates of all 4 atoms:
Co (0.000, 0.000, 0.000)
Pb (0.250, 0.250, 0.250)
Pb (0.750, 0.750, 0.750)
I (0.500, 0.500, 0.500)

Values from the calculation:
Raw total energy ... -3.30 eV per atom
E_form (uncorrected) ... 0.720 eV per atom
Relative energy among the computed polymorphs ... 376.2 meV per atom
Symmetry ... Fm-3m

## HoIn2Sn (PBE-GGA)

Data for HoIn2Sn after structural relaxation.

Cell lengths 3.896, 3.896, 6.889 Å; angles 90.00, 90.00, 90.00 degrees
Fractional coordinates of all 4 atoms:
Ho (0.000, 0.000, 0.000)
In (0.500, 0.500, 0.265)
In (0.500, 0.500, 0.735)
Sn (0.000, 0.000, 0.500)

Values from the calculation:
Raw total energy ... -3.74 eV per atom
Energy of formation from the pure elements ... -0.23 eV/atom
Relative energy among the computed polymorphs ... 179.1 meV per atom
Symmetry ... P4/mmm

## K2ZnHgN (PBE-GGA)

Data for K2ZnHgN after structural relaxation.

Cell lengths 6.179, 6.179, 3.666 Å; angles 90.00, 90.00, 90.00 degrees
Fractional coordinates of all 5 atoms:
K (0.000, 0.500, 0.000)
K (0.500, 0.000, 0.000)
Zn (0.000, 0.000, 0.500)
Hg (0.500, 0.500, 0.500)
N (0.000, 0.000, 0.000)

Values from the calculation:
Raw total energy ... -2.40 eV per atom
E_form (uncorrected) ... 0.017 eV per atom
Symmetry ... P4/mmm

Among the records above, which one has the lowest raw total energy? HoIn2Sn

What is the raw total energy in the first record? -3.30 eV per atom